1.
HgHBr2 (PBE, optimized geometry); Fermi-level density of states = 10.3 states/eV/cell; energy above the most stable polymorph in this dataset = 0 meV per atom; size of the total moment = 0.0 Bohr magnetons per cell; E_tot = -1.863 eV/atom
1.0
4.815 0.000 0.000
-2.407 4.170 0.000
0.000 0.000 19.467
Hg H Br
3 3 6
Direct
0.000 0.000 0.000
0.333 0.667 0.667
0.667 0.333 0.333
0.000 0.000 0.500
0.333 0.667 0.167
0.667 0.333 0.833
0.000 0.000 0.412
0.000 0.000 0.588
0.333 0.667 0.079
0.333 0.667 0.255
0.667 0.333 0.745
0.667 0.333 0.921

***

2.
HgHBr3 (PBE, optimized geometry); Fermi-level density of states = 6.4 states/eV/cell; energy above the most stable polymorph in this dataset = 789 meV per atom; size of the total moment = 0.9 Bohr magnetons per cell; E_tot = -1.302 eV/atom
1.0
5.500 0.000 0.000
0.000 5.500 0.000
0.000 0.000 5.500
Hg H Br
1 1 3
Direct
0.000 0.000 0.000
0.500 0.500 0.500
0.000 0.000 0.500
0.000 0.500 0.000
0.500 0.000 0.000

***

3.
HgHBr3 (PBE, optimized geometry); Fermi-level density of states = 0.0 states/eV/cell; energy above the most stable polymorph in this dataset = 0 meV per atom; size of the total moment = 0.0 Bohr magnetons per cell; E_tot = -2.091 eV/atom
1.0
6.801 0.000 0.000
1.637 7.580 0.000
2.482 1.977 7.256
Hg H Br
2 2 6
Direct
0.182 0.018 0.155
0.818 0.982 0.845
0.389 0.770 0.686
0.611 0.230 0.314
0.050 0.218 0.771
0.248 0.727 0.603
0.426 0.240 0.094
0.574 0.760 0.906
0.752 0.273 0.397
0.950 0.782 0.229

***

4.
Hg5H2Br3 (PBE, optimized geometry); size of the total moment = 0.0 Bohr magnetons per cell; E_tot = -1.459 eV/atom
1.0
6.966 0.000 0.000
-0.752 9.118 0.000
-1.954 -2.638 9.252
Hg H Br
10 4 6
Direct
0.021 0.312 0.157
0.085 0.146 0.742
0.341 0.742 0.298
0.366 0.385 0.906
0.392 0.823 0.651
0.608 0.177 0.349
0.634 0.615 0.094
0.659 0.258 0.702
0.915 0.854 0.258
0.979 0.688 0.843
0.200 0.456 0.227
0.458 0.004 0.665
0.542 0.996 0.335
0.800 0.544 0.773
0.111 0.136 0.401
0.261 0.895 0.984
0.295 0.546 0.631
0.705 0.454 0.369
0.739 0.105 0.016
0.889 0.864 0.599

***

5.
HgHBr3 (PBE, optimized geometry); Fermi-level density of states = 7.1 states/eV/cell; energy above the most stable polymorph in this dataset = 876 meV per atom; size of the total moment = 0.0 Bohr magnetons per cell; E_tot = -1.215 eV/atom
1.0
4.807 0.000 0.000
0.000 4.807 0.000
0.000 0.000 4.807
Hg H Br
1 1 3
Direct
0.000 0.000 0.000
0.500 0.500 0.500
0.000 0.500 0.500
0.500 0.000 0.500
0.500 0.500 0.000

***

6.
Hg5H3Br12 (PBE, optimized geometry); Fermi-level density of states = 16.2 states/eV/cell; size of the total moment = 0.0 Bohr magnetons per cell; E_tot = -1.531 eV/atom
1.0
-8.296 8.296 8.296
8.296 -8.296 8.296
8.296 8.296 -8.296
Hg H Br
20 12 48
Direct
0.000 0.000 0.000
0.000 0.000 0.500
0.000 0.500 0.000
0.000 0.500 0.500
0.125 0.750 0.875
0.125 0.875 0.250
0.250 0.125 0.875
0.250 0.625 0.375
0.375 0.250 0.625
0.375 0.625 0.750
0.500 0.000 0.000
0.500 0.000 0.500
0.500 0.500 0.000
0.500 0.500 0.500
0.625 0.375 0.250
0.625 0.750 0.375
0.750 0.375 0.625
0.750 0.875 0.125
0.875 0.125 0.750
0.875 0.250 0.125
0.125 0.250 0.375
0.125 0.375 0.750
0.250 0.375 0.125
0.250 0.875 0.625
0.375 0.125 0.250
0.375 0.750 0.125
0.625 0.250 0.875
0.625 0.875 0.750
0.750 0.125 0.375
0.750 0.625 0.875
0.875 0.625 0.250
0.875 0.750 0.625
0.010 0.635 0.200
0.010 0.875 0.810
0.065 0.190 0.700
0.065 0.375 0.365
0.125 0.190 0.990
0.125 0.435 0.135
0.135 0.125 0.435
0.135 0.510 0.700
0.190 0.700 0.065
0.190 0.990 0.125
0.200 0.010 0.635
0.200 0.690 0.565
0.300 0.865 0.490
0.300 0.935 0.810
0.310 0.375 0.510
0.310 0.435 0.800
0.365 0.065 0.375
0.365 0.800 0.990
0.375 0.365 0.065
0.375 0.510 0.310
0.435 0.135 0.125
0.435 0.800 0.310
0.490 0.300 0.865
0.490 0.690 0.625
0.510 0.310 0.375
0.510 0.700 0.135
0.565 0.200 0.690
0.565 0.865 0.875
0.625 0.490 0.690
0.625 0.635 0.935
0.635 0.200 0.010
0.635 0.935 0.625
0.690 0.565 0.200
0.690 0.625 0.490
0.700 0.065 0.190
0.700 0.135 0.510
0.800 0.310 0.435
0.800 0.990 0.365
0.810 0.010 0.875
0.810 0.300 0.935
0.865 0.490 0.300
0.865 0.875 0.565
0.875 0.565 0.865
0.875 0.810 0.010
0.935 0.625 0.635
0.935 0.810 0.300
0.990 0.125 0.190
0.990 0.365 0.800

***

7.
Hg3H2Br4 (PBE, optimized geometry); Fermi-level density of states = 0.0 states/eV/cell; size of the total moment = 0.0 Bohr magnetons per cell; E_tot = -1.817 eV/atom
1.0
4.281 0.000 0.000
-0.392 12.454 0.000
-1.427 -5.312 12.833
Hg H Br
6 4 8
Direct
0.169 0.262 0.310
0.276 0.504 0.594
0.278 0.882 0.348
0.722 0.118 0.652
0.724 0.496 0.406
0.831 0.738 0.690
0.162 0.780 0.871
0.426 0.556 0.268
0.574 0.444 0.732
0.838 0.220 0.129
0.145 0.081 0.769
0.205 0.584 0.196
0.352 0.161 0.522
0.422 0.783 0.947
0.578 0.217 0.053
0.648 0.839 0.478
0.795 0.416 0.804
0.855 0.919 0.231

***

8.
Hg6H2Br (PBE, optimized geometry); Fermi-level density of states = 1.8 states/eV/cell; size of the total moment = 0.0 Bohr magnetons per cell; E_tot = -1.053 eV/atom
1.0
4.113 0.000 0.000
-1.844 7.336 0.000
-1.598 -2.033 7.635
Hg H Br
6 2 1
Direct
0.066 0.069 0.357
0.222 0.326 0.018
0.399 0.716 0.289
0.601 0.284 0.711
0.778 0.674 0.982
0.934 0.931 0.643
0.136 0.158 0.176
0.864 0.842 0.824
0.000 0.500 0.500

***

9.
HgH2Br2 (PBE, optimized geometry); Fermi-level density of states = 0.0 states/eV/cell; energy above the most stable polymorph in this dataset = 0 meV per atom; size of the total moment = 0.0 Bohr magnetons per cell; E_tot = -2.332 eV/atom
1.0
10.445 0.000 0.000
0.000 6.551 0.000
-0.443 0.000 4.228
Hg H Br
2 4 4
Direct
0.000 0.000 0.000
0.500 0.500 0.000
0.036 0.500 0.011
0.464 0.000 0.989
0.536 0.000 0.011
0.964 0.500 0.989
0.185 0.000 0.684
0.315 0.500 0.316
0.685 0.500 0.684
0.815 0.000 0.316

***

10.
Hg4HBr (PBE, optimized geometry); Fermi-level density of states = 0.6 states/eV/cell; size of the total moment = 0.0 Bohr magnetons per cell; E_tot = -1.009 eV/atom
1.0
8.422 -3.329 0.000
8.422 3.329 0.000
-0.028 0.000 6.169
Hg H Br
8 2 2
Direct
0.024 0.794 0.606
0.206 0.976 0.894
0.278 0.512 0.166
0.488 0.722 0.334
0.512 0.278 0.666
0.722 0.488 0.834
0.794 0.024 0.106
0.976 0.206 0.394
0.420 0.580 0.250
0.580 0.420 0.750
0.000 0.500 0.000
0.500 0.000 0.500

***

11.
K2HgHBr5 (PBE, optimized geometry); Fermi-level density of states = 0.0 states/eV/cell; size of the total moment = 0.0 Bohr magnetons per cell; E_tot = -2.543 eV/atom
1.0
2.312 -8.690 0.000
2.312 8.690 0.000
0.000 0.000 14.440
K Hg H Br
4 2 2 10
Direct
0.121 0.879 0.500
0.128 0.872 0.157
0.872 0.128 0.657
0.879 0.121 0.000
0.177 0.823 0.860
0.823 0.177 0.360
0.414 0.586 0.151
0.586 0.414 0.651
0.031 0.969 0.843
0.308 0.692 0.493
0.318 0.682 0.191
0.327 0.673 0.833
0.497 0.503 0.094
0.503 0.497 0.594
0.673 0.327 0.333
0.682 0.318 0.691
0.692 0.308 0.993
0.969 0.031 0.343

***

12.
KHgH2Br (PBE, optimized geometry); Fermi-level density of states = 1.7 states/eV/cell; size of the total moment = 1.5 Bohr magnetons per cell; E_tot = -1.546 eV/atom
1.0
4.702 0.000 0.000
0.000 4.702 0.000
0.000 0.000 6.533
K Hg H Br
1 1 2 1
Direct
0.000 0.000 0.000
0.500 0.500 0.500
0.000 0.500 0.000
0.500 0.000 0.000
0.000 0.000 0.500